Record 1
Compound: Tl4P2Au5
Source: Alexandria via LeMat-Bulk
Functional: PBE
Structure: relaxed

a b c (Å): 6.6556 4.2568 9.8225
angles (deg): 90.00 101.69 90.00
Sites, in units of the cell vectors:
Tl  0.1819  0.0000  0.3385
Tl  0.2793  0.0000  0.8840
Tl  0.7207  0.0000  0.1160
Tl  0.8181  0.0000  0.6615
P  0.4953  0.5000  0.7428
P  0.5047  0.5000  0.2572
Au  0.1376  0.5000  0.6207
Au  0.1846  0.5000  0.0846
Au  0.5000  0.5000  0.5000
Au  0.8154  0.5000  0.9154
Au  0.8624  0.5000  0.3793

Crystal system: monoclinic
Total magnetization: 0.0000 μB/atom
V: 24.774 Å³/atom
Energy: -35.8 eV per formula unit
Space-group type: P2/m

***

Record 2
Compound: Sm2Tl3HgSe6
Source: Alexandria via LeMat-Bulk
Functional: PBE
Structure: relaxed

a b c (Å): 7.3604 7.3604 7.9271
angles (deg): 99.14 99.14 119.91
Sites, in units of the cell vectors:
Sm  0.1657  0.8343  0.0000
Sm  0.8343  0.1657  0.0000
Tl  0.0000  0.0000  0.5000
Tl  0.3286  0.6714  0.5000
Tl  0.6714  0.3286  0.5000
Hg  0.5000  0.5000  0.0000
Se  0.0944  0.4279  0.7850
Se  0.2355  0.2355  0.2229
Se  0.4279  0.0944  0.7850
Se  0.5721  0.9056  0.2150
Se  0.7645  0.7645  0.7771
Se  0.9056  0.5721  0.2150

Crystal system: monoclinic
Total magnetization: 0.0000 μB/atom
V: 29.421 Å³/atom
Energy relative to the elements, uncorrected: -0.93 eV per atom
Space-group type: C2/m